Computed, not measured: a geometry-optimized CsLiHfS3 structure at the PBE level of DFT.

Cell: 3.8098 15.2351 9.9997 Å, 90.00 90.00 90.00°
With the nearest neighbours (Å) after each atom.
Space group Cmcm (No. 63)
Asymmetric unit:
Cs: 0.0000 0.2387 0.2500  8 S 3.50-3.64, 2 Cs 3.81, 2 Li 3.85
Li: 0.0000 0.0419 0.7500  4 S 2.33
Hf: 0.0000 0.5000 0.0000  6 S 2.58-2.60
S: 0.0000 0.1107 0.5419  1 Li 2.33, 2 Hf 2.58
S: 0.0000 0.4542 0.7500  2 Li 2.33, 2 Hf 2.60

Properties
The value obtained for the energy above the lowest structure with this stoichiometry is 0.007 eV per atom. As for the total DFT energy (no corrections): -5.691 eV per atom. Its crystal system is orthorhombic.